1.
Here is crystalline GdTm3Sn2C2 at its relaxed geometry from OQMD via LeMat-Bulk. Energies are from PBE.

Structure (POSCAR):
```
GdTm3Sn2C2
1.0
3.588 0.000 0.000
-1.794 3.107 0.000
0.000 0.000 15.738
Tm C Gd Sn
3 2 1 2
direct
0.333 0.667 0.418 Tm
0.667 0.333 0.584 Tm
0.667 0.333 0.914 Tm
0.000 0.000 0.996 C
0.000 0.000 0.501 C
0.333 0.667 0.084 Gd
0.667 0.333 0.254 Sn
0.333 0.667 0.749 Sn
```

Summary:
- Space-group type: P3m1, No. 156
- Crystal system: trigonal
- Uncorrected energy: -6.1300 eV/atom

***

2.
Here is crystalline HfCuHgBi at its relaxed geometry from OQMD via LeMat-Bulk. Energies are from PBE.

Structure (POSCAR):
```
HfCuHgBi
1.0
0.000 3.529 3.529
3.529 0.000 3.529
3.529 3.529 0.000
Hf Hg Bi Cu
1 1 1 1
direct
0.500 0.500 0.500 Hf
0.750 0.750 0.750 Hg
0.000 0.000 0.000 Bi
0.250 0.250 0.250 Cu
```

Summary:
- Space-group type: F-43m, No. 216
- Crystal system: cubic
- Uncorrected energy: -4.1569 eV/atom

***

3.
Here is crystalline RbNiAgS3 at its relaxed geometry from OQMD via LeMat-Bulk. Energies are from PBE.

Structure (POSCAR):
```
RbNiAgS3
1.0
-0.854 4.477 6.301
-1.698 -6.130 -4.474
6.951 -5.428 4.799
Rb Ni S Ag
2 2 6 2
direct
0.268 0.732 0.250 Rb
0.732 0.268 0.750 Rb
0.000 0.000 0.500 Ni
0.000 0.000 0.000 Ni
0.403 0.597 0.513 S
0.597 0.403 0.013 S
0.403 0.597 0.987 S
0.951 0.049 0.250 S
0.049 0.951 0.750 S
0.597 0.403 0.487 S
0.428 0.572 0.750 Ag
0.572 0.428 0.250 Ag
```

Summary:
- Space-group type: Cmcm, No. 63
- Crystal system: orthorhombic
- Uncorrected energy: -3.8552 eV/atom

***

4.
Here is crystalline LaCuAsIr at its relaxed geometry from OQMD via LeMat-Bulk. Energies are from PBE.

Structure (POSCAR):
```
LaCuAsIr
1.0
0.000 3.366 3.366
3.366 0.000 3.366
3.366 3.366 0.000
La Cu As Ir
1 1 1 1
direct
0.500 0.500 0.500 La
0.750 0.750 0.750 Cu
0.000 0.000 0.000 As
0.250 0.250 0.250 Ir
```

Summary:
- Space-group type: F-43m, No. 216
- Crystal system: cubic
- Uncorrected energy: -5.7355 eV/atom

***

5.
Here is crystalline MoS at its relaxed geometry from OQMD via LeMat-Bulk. Energies are from PBE.

Structure (POSCAR):
```
MoS
1.0
0.000 2.667 2.667
2.667 0.000 2.667
2.667 2.667 0.000
Mo S
1 1
direct
0.000 0.000 0.000 Mo
0.250 0.250 0.250 S
```

Summary:
- Space-group type: F-43m, No. 216
- Crystal system: cubic
- Uncorrected energy: -7.4570 eV/atom

***

6.
Here is crystalline HfZrTc at its relaxed geometry from OQMD via LeMat-Bulk. Energies are from PBE.

Structure (POSCAR):
```
HfZrTc
1.0
0.000 3.203 3.203
3.203 0.000 3.203
3.203 3.203 0.000
Zr Tc Hf
1 1 1
direct
0.000 0.000 0.000 Zr
0.250 0.250 0.250 Tc
0.500 0.500 0.500 Hf
```

Summary:
- Space-group type: F-43m, No. 216
- Crystal system: cubic
- Uncorrected energy: -9.6349 eV/atom
- Formation enthalpy at 0 K: -0.04 eV/f.u.

***

7.
Here is crystalline Ba2CdIr at its relaxed geometry from OQMD via LeMat-Bulk. Energies are from PBE.

Structure (POSCAR):
```
Ba2CdIr
1.0
-2.303 -4.675 1.381
-5.128 -0.981 -1.346
-1.140 -3.666 -3.786
Ir Cd Ba
1 1 2
direct
0.750 0.750 0.750 Ir
0.500 0.500 0.500 Cd
0.250 0.250 0.250 Ba
0.000 0.000 0.000 Ba
```

Summary:
- Space-group type: F-43m, No. 216
- Crystal system: cubic
- Uncorrected energy: -3.2351 eV/atom

***

8.
Here is crystalline DyHoHg2 at its relaxed geometry from OQMD via LeMat-Bulk. Energies are from PBE.

Structure (POSCAR):
```
DyHoHg2
1.0
3.632 -5.284 0.000
3.632 5.284 0.000
0.000 0.000 5.251
Dy Ho Hg
2 2 4
direct
0.128 0.872 0.750 Dy
0.872 0.128 0.250 Dy
0.373 0.627 0.250 Ho
0.627 0.373 0.750 Ho
0.871 0.629 0.250 Hg
0.371 0.129 0.250 Hg
0.129 0.371 0.750 Hg
0.629 0.871 0.750 Hg
```

Summary:
- Space-group type: Cmcm, No. 63
- Crystal system: orthorhombic
- Uncorrected energy: -2.9241 eV/atom
- Formation enthalpy at 0 K: -1.92 eV/f.u.

***

9.
Here is crystalline TbTm2In3CuNi2 at its relaxed geometry from OQMD via LeMat-Bulk. Energies are from PBE.

Structure (POSCAR):
```
TbTm2In3CuNi2
1.0
3.806 0.000 0.000
0.000 6.413 3.703
0.000 -6.413 3.703
Cu In Tm Tb Ni
1 3 2 1 2
direct
0.000 0.000 0.000 Cu
0.500 0.000 0.742 In
0.500 0.742 0.000 In
0.500 0.258 0.258 In
0.000 0.000 0.413 Tm
0.000 0.413 0.000 Tm
0.000 0.587 0.587 Tb
0.500 0.667 0.333 Ni
0.500 0.333 0.667 Ni
```

Summary:
- Space-group type: Amm2, No. 38
- Crystal system: orthorhombic
- Uncorrected energy: -4.5496 eV/atom

***

10.
Here is crystalline Tb2ErIn3CuPt2 at its relaxed geometry from OQMD via LeMat-Bulk. Energies are from PBE.

Structure (POSCAR):
```
Tb2ErIn3CuPt2
1.0
-3.576 -0.119 1.054
2.188 0.087 7.431
-1.318 6.669 -3.715
Pt Cu In Er Tb
2 1 3 1 2
direct
0.500 0.336 0.666 Pt
0.500 0.666 0.336 Pt
0.000 0.999 0.999 Cu
0.500 0.743 0.999 In
0.500 0.257 0.257 In
0.500 0.999 0.743 In
0.000 0.591 0.591 Er
0.000 0.409 0.000 Tb
0.000 0.000 0.409 Tb
```

Summary:
- Space-group type: Amm2, No. 38
- Crystal system: orthorhombic
- Uncorrected energy: -5.0449 eV/atom

***

11.
Here is crystalline Pr2TmTe3 at its relaxed geometry from OQMD via LeMat-Bulk. Energies are from PBE.

Structure (POSCAR):
```
Pr2TmTe3
1.0
4.409 0.000 0.000
-2.205 3.819 0.000
0.000 0.000 11.125
Te Pr Tm
3 2 1
direct
0.000 0.000 0.000 Te
0.333 0.667 0.650 Te
0.667 0.333 0.350 Te
0.333 0.667 0.171 Pr
0.667 0.333 0.829 Pr
0.000 0.000 0.500 Tm
```

Summary:
- Space-group type: P-3m1, No. 164
- Crystal system: trigonal
- Uncorrected energy: -5.2645 eV/atom